NpVCdO6: relaxed, GGA+U.

Results
Calculated volume in Å³/f.u.: 120.46
Magnetization in μB/f.u.: 2.00
Theoretical density in Mg/m³: 6.8
Total energy in eV per atom: -7.793

abc: 5.3866 5.3866 9.5880
angles: 90.00 90.00 120.00
Space group P-31c (No. 163)
Unique sites:
Np: 0.3333 0.6667 0.2500 x2
V: 0.3333 0.6667 0.7500 x2
Cd: 0.0000 0.0000 0.0000 x2
O: 0.0148 0.3686 0.6405 x12